*P*
This record from Alexandria describes a PBEsol-optimized structure of TlHgMo2. The functional is meta-GGA SCAN.

Lattice parameters (Å, degrees): 2.8580 5.0949 5.1561 94.41 90.00 106.29
With the nearest neighbours (Å) after each atom.
Sites, in units of the cell vectors:
Tl1 0.4998 0.9995 0.5036  3 Hg 2.82-3.05, 2 Tl 2.86, 7 Mo 2.88-3.07
Hg1 0.2529 0.5058 0.7495  3 Tl 2.82-3.05, 7 Mo 2.85-3.05, 2 Hg 2.86
Mo1 0.9956 0.9912 0.0191  5 Mo 2.69-3.01, 2 Tl 2.88, 3 Hg 2.97-3.01
Mo2 0.7518 0.5035 0.2278  5 Mo 2.69-3.01, 2 Hg 2.85, 1 Tl 2.94

Symmetry: Cm
N(E_F) (states/eV/f.u.): 2.55

=====

*Q*
This record from Alexandria describes a PBEsol-optimized structure of TlHgMo2. The functional is meta-GGA SCAN.

Lattice parameters (Å, degrees): 2.8478 2.8478 8.8004 90.00 90.00 90.00
With the nearest neighbours (Å) after each atom.
Sites, in units of the cell vectors:
Tl1 0.5000 0.5000 0.0000  4 Tl 2.85, 8 Mo 3.02
Mo1 0.0000 0.0000 0.7445  4 Mo 2.85, 4 Hg 2.95, 4 Tl 3.02
Mo2 0.0000 0.0000 0.2555  4 Mo 2.85, 4 Hg 2.95, 4 Tl 3.02
Hg1 0.5000 0.5000 0.5000  4 Hg 2.85, 8 Mo 2.95

Symmetry: P4/mmm
N(E_F) (states/eV/f.u.): 3.78

=====

It is *P* that is most stable; the runner-up trails by 105 meV per atom.

=====

*P*
This record from Alexandria describes a PBEsol-optimized structure of Tl3HgMo. The functional is meta-GGA SCAN.

Lattice parameters (Å, degrees): 5.4945 5.4945 5.4945 90.00 90.00 90.00
With the nearest neighbours (Å) after each atom.
Sites, in units of the cell vectors:
Mo1 0.5000 0.5000 0.5000  12 Tl 3.89
Hg1 0.0000 0.0000 0.0000  6 Tl 2.75
Tl1 0.0000 0.5000 0.0000  2 Hg 2.75
Tl2 0.0000 0.0000 0.5000  2 Hg 2.75
Tl3 0.5000 0.0000 0.0000  2 Hg 2.75

Symmetry: Pm-3m
N(E_F) (states/eV/f.u.): 2.98

=====

*Q*
This record from Alexandria describes a PBEsol-optimized structure of Tl3HgMo. The functional is meta-GGA SCAN.

Lattice parameters (Å, degrees): 5.3243 5.3243 5.3243 90.00 90.00 90.00
With the nearest neighbours (Å) after each atom.
Sites, in units of the cell vectors:
Tl1 0.5000 0.0000 0.0000  2 Mo 2.66
Tl2 0.0000 0.0000 0.5000  2 Mo 2.66
Tl3 0.0000 0.5000 0.0000  2 Mo 2.66
Hg1 0.5000 0.5000 0.5000  12 Tl 3.76
Mo1 0.0000 0.0000 0.0000  6 Tl 2.66

Symmetry: Pm-3m
N(E_F) (states/eV/f.u.): 2.92

=====

It is *Q* that is most stable; the runner-up trails by 610 meV per atom.

=====

*P*
This record from Alexandria describes a PBEsol-optimized structure of ZrHg2Mo. The functional is meta-GGA SCAN.

Lattice parameters (Å, degrees): 2.9681 4.8014 5.2766 90.00 92.50 90.00
With the nearest neighbours (Å) after each atom.
Sites, in units of the cell vectors:
Mo1 0.4474 0.0000 0.4794  8 Hg 2.86-3.17, 2 Zr 2.88, 2 Mo 2.97
Zr1 0.3156 0.5000 0.7668  8 Hg 2.86-3.10, 2 Mo 2.88, 2 Zr 2.97
Hg1 0.8800 0.0000 0.9749  4 Mo 2.86-3.17, 4 Hg 2.89-2.97, 4 Zr 2.96-3.10
Hg2 0.8569 0.5000 0.2789  4 Zr 2.86-3.09, 4 Hg 2.89-2.97, 4 Mo 2.91-3.13

Symmetry: Pm
N(E_F) (states/eV/f.u.): 2.32

=====

*Q*
This record from Alexandria describes a PBEsol-optimized structure of ZrHg2Mo. The functional is meta-GGA SCAN.

Lattice parameters (Å, degrees): 3.6042 3.6042 5.8243 90.00 90.00 90.00
With the nearest neighbours (Å) after each atom.
Sites, in units of the cell vectors:
Hg1 0.0000 0.0000 0.2408  2 Hg 2.81-3.02, 4 Mo 2.91, 4 Zr 2.96
Hg2 0.0000 0.0000 0.7592  2 Hg 2.81-3.02, 4 Mo 2.91, 4 Zr 2.96
Zr1 0.5000 0.5000 0.5000  2 Mo 2.91, 8 Hg 2.96
Mo1 0.5000 0.5000 0.0000  8 Hg 2.91, 2 Zr 2.91

Symmetry: P4/mmm
N(E_F) (states/eV/f.u.): 2.87

=====

It is *P* that is most stable; the runner-up trails by 50 meV per atom.